# PBE+U NiB2AuF, optimized geometry
data_NiB2AuF
_chemical_formula_sum 'Ni1 B2 Au1 F1'
_cell_length_a 3.647
_cell_length_b 3.647
_cell_length_c 5.111
_cell_angle_alpha 90.00
_cell_angle_beta 90.00
_cell_angle_gamma 90.00
_symmetry_space_group_name_H-M 'P 4/m m m'
_symmetry_Int_Tables_number 123
_symmetry_space_group_name_Hall '-P 4 2'
loop_
_atom_site_label
_atom_site_type_symbol
_atom_site_fract_x
_atom_site_fract_y
_atom_site_fract_z
_atom_site_occupancy
Ni1 Ni 0.000 0.000 0.000 1
B1 B 0.000 0.500 0.000 1
Au1 Au 0.000 0.000 0.500 1
F1 F 0.500 0.500 0.500 1
# **DOS(E_F)**: 2.46 states/eV/f.u.
# **Mass density**: 7.24 g/cm3
# **VASP energy**: -3.324 eV/atom
# **V**: 13.6 A^3/atom